1.
Here is a geometry-optimized ErTlSnS3 structure from the Open Quantum Materials Database. Energies are from PBE.

Values from the calculation:
**Total magnetization**: 0.0 μB/f.u.
**Final energy**: -0.363 Ry/atom

abc: 8.747 8.747 10.702
angles: 90.00 90.00 153.88
Fractional positions:
Er1 0.000 0.000 0.000
Er2 0.000 0.000 0.500
S1 0.392 0.608 0.013
S2 0.027 0.973 0.250
S3 0.392 0.608 0.487
S4 0.608 0.392 0.513
S5 0.973 0.027 0.750
S6 0.608 0.392 0.987
Sn1 0.629 0.371 0.250
Sn2 0.371 0.629 0.750
Tl1 0.305 0.695 0.250
Tl2 0.695 0.305 0.750

---

2.
Here is a geometry-optimized SnPd2Au structure from the Open Quantum Materials Database. Energies are from PBE.

Values from the calculation:
**Final energy**: -0.350 Ry/atom

abc: 4.089 4.089 8.285
angles: 90.00 90.00 90.00
Fractional positions:
Au1 0.500 0.000 0.500
Au2 0.000 0.500 0.500
Pd1 0.500 0.000 0.000
Pd2 0.000 0.500 0.000
Pd3 0.000 0.000 0.250
Pd4 0.000 0.000 0.750
Sn1 0.500 0.500 0.229
Sn2 0.500 0.500 0.771